Here is an optimized crystal structure of Ge2AsO6 from the Alexandria database. Energies are from GGA-PBE.

SG	C2/c (15)
VASP energy	-6.16	eV/atom

a b c (Å): 5.2074 8.1134 8.1134
angles (deg): 92.21 71.54 71.54
Closest atoms and distances in Å follow each position.
Positions (direct):
Ge 0.1519 0.6631 0.8267  4 O 1.77-1.79
Ge 0.3481 0.1733 0.3369  4 O 1.77-1.79
Ge 0.8481 0.3369 0.1733  4 O 1.77-1.79
Ge 0.6519 0.8267 0.6631  4 O 1.77-1.79
As 0.2500 0.2438 0.7562  4 O 1.83
As 0.7500 0.7562 0.2438  4 O 1.83
O 0.3246 0.7888 0.6882  2 Ge 1.77-1.78
O 0.1754 0.3118 0.2112  2 Ge 1.77-1.78
O 0.6754 0.2112 0.3118  2 Ge 1.77-1.78
O 0.8246 0.6882 0.7888  2 Ge 1.77-1.78
O 0.8622 0.7771 0.4335  1 Ge 1.79, 1 As 1.83
O 0.6378 0.5665 0.2229  1 Ge 1.79, 1 As 1.83
O 0.1378 0.2229 0.5665  1 Ge 1.79, 1 As 1.83
O 0.3622 0.4335 0.7771  1 Ge 1.79, 1 As 1.83
O 0.0706 0.7364 0.0542  1 Ge 1.79, 1 As 1.83
O 0.4294 0.9458 0.2636  1 Ge 1.79, 1 As 1.83
O 0.9294 0.2636 0.9458  1 Ge 1.79, 1 As 1.83
O 0.5706 0.0542 0.7364  1 Ge 1.79, 1 As 1.83



Here is an optimized crystal structure of Ac2Cd2Hg3 from the Alexandria database. Energies are from GGA-PBE.

E_form	-352	meV/atom
SG	Cmcm (63)
E above lowest polymorph	0.000	eV/atom

a b c (Å): 4.5254 8.3847 11.0407
angles (deg): 90.00 101.83 90.00
Closest atoms and distances in Å follow each position.
Positions (direct):
Ac 0.1550 0.2500 0.3099  6 Hg 3.38-3.40, 6 Cd 3.50-3.78
Ac 0.8450 0.7500 0.6901  6 Hg 3.38-3.40, 6 Cd 3.50-3.78
Ac 0.9411 0.2500 0.8822  9 Hg 3.52-3.73, 4 Cd 3.91
Ac 0.0589 0.7500 0.1178  9 Hg 3.52-3.73, 4 Cd 3.91
Cd 0.6865 0.9414 0.3729  4 Hg 2.92-3.17, 1 Cd 3.21
Cd 0.3135 0.0586 0.6271  4 Hg 2.92-3.17, 1 Cd 3.21
Cd 0.3135 0.4414 0.6271  4 Hg 2.92-3.17, 1 Cd 3.21
Cd 0.6865 0.5586 0.3729  4 Hg 2.92-3.17, 1 Cd 3.21
Hg 0.2288 0.7500 0.4577  6 Cd 2.92-3.17
Hg 0.7712 0.2500 0.5423  6 Cd 2.92-3.17
Hg 0.5596 0.4277 0.1191  2 Hg 2.85-2.98, 1 Cd 2.95
Hg 0.4404 0.5723 0.8809  2 Hg 2.85-2.98, 1 Cd 2.95
Hg 0.4404 0.9277 0.8809  2 Hg 2.85-2.98, 1 Cd 2.95
Hg 0.5596 0.0723 0.1191  2 Hg 2.85-2.98, 1 Cd 2.95



Here is an optimized crystal structure of ThTiAlPt2 from the Alexandria database. Energies are from GGA-PBE.

E_form	-1023	meV/atom
SG	I-4m2 (119)

a b c (Å): 4.1446 4.1446 6.4865
angles (deg): 108.63 108.63 90.00
Closest atoms and distances in Å follow each position.
Positions (direct):
Th 0.0000 0.0000 0.0000  8 Pt 3.23, 4 Al 3.56, 4 Ti 3.56
Ti 0.2500 0.7500 0.5000  4 Pt 2.58
Al 0.7500 0.2500 0.5000  4 Pt 2.58
Pt 0.6165 0.6165 0.2331  2 Al 2.58, 2 Ti 2.58, 1 Pt 2.70
Pt 0.3835 0.3835 0.7669  2 Al 2.58, 2 Ti 2.58, 1 Pt 2.70



Here is an optimized crystal structure of MgInHg2 from the Alexandria database. Energies are from GGA-PBE.

E_form	-57	meV/atom
SG	Pmm2 (25)

a b c (Å): 3.5462 4.3165 6.3290
angles (deg): 90.00 90.00 90.00
Closest atoms and distances in Å follow each position.
Positions (direct):
Mg 0.5000 0.5000 0.7731  6 Hg 3.06-3.27, 4 In 3.31
Hg 0.0000 0.0000 0.9776  2 In 3.07-3.26, 4 Mg 3.08, 4 Hg 3.30
Hg 0.5000 0.5000 0.2562  2 Mg 3.06-3.27, 4 In 3.17, 4 Hg 3.30
In 0.0000 0.0000 0.4931  6 Hg 3.07-3.26, 4 Mg 3.31



Here is an optimized crystal structure of Ca3Tl2InPb3 from the Alexandria database. Energies are from GGA-PBE.

E_form	-303	meV/atom
SG	P-62m (189)

a b c (Å): 3.7744 9.1429 9.1429
angles (deg): 120.00 90.00 90.00
Closest atoms and distances in Å follow each position.
Positions (direct):
Ca 0.0000 0.6256 0.6256  1 In 3.42, 4 Tl 3.44, 6 Pb 3.63, 2 Ca 3.77
Ca 0.0000 0.0000 0.3744  1 In 3.42, 4 Tl 3.44, 6 Pb 3.63, 2 Ca 3.77
Ca 0.0000 0.3744 0.0000  1 In 3.42, 4 Tl 3.44, 6 Pb 3.63, 2 Ca 3.77
Tl 0.5000 0.6667 0.3333  3 Pb 3.28, 6 Ca 3.44
Tl 0.5000 0.3333 0.6667  3 Pb 3.28, 6 Ca 3.44
In 0.0000 0.0000 0.0000  6 Pb 3.23, 3 Ca 3.42
Pb 0.5000 0.7135 0.0000  2 In 3.23, 2 Tl 3.28
Pb 0.5000 0.0000 0.7135  2 In 3.23, 2 Tl 3.28
Pb 0.5000 0.2865 0.2865  2 In 3.23, 2 Tl 3.28



Here is an optimized crystal structure of Rb4NaMg3F12 from the Alexandria database. Energies are from GGA-PBE.

SG	Im-3m (229)
VASP energy	-4.61	eV/atom

a b c (Å): 7.3124 7.3124 7.3124
angles (deg): 109.47 109.47 109.47
Closest atoms and distances in Å follow each position.
Positions (direct):
Rb 0.5000 0.5000 0.5000  12 F 2.99
Rb 0.0000 0.0000 0.5000  12 F 2.99
Rb 0.5000 0.0000 0.0000  12 F 2.99
Rb 0.0000 0.5000 0.0000  12 F 2.99
Na 0.0000 0.0000 0.0000  6 F 2.28
Mg 0.5000 0.0000 0.5000  6 F 1.94-2.11
Mg 0.5000 0.5000 0.0000  6 F 1.94-2.11
Mg 0.0000 0.5000 0.5000  6 F 1.94-2.11
F 0.2500 0.5000 0.7500  2 Mg 2.11
F 0.7301 0.0000 0.7301  1 Mg 1.94
F 0.2699 0.0000 0.2699  1 Mg 1.94
F 0.7500 0.5000 0.2500  2 Mg 2.11
F 0.7301 0.7301 0.0000  1 Mg 1.94
F 0.2699 0.2699 0.0000  1 Mg 1.94
F 0.7500 0.2500 0.5000  2 Mg 2.11
F 0.2500 0.7500 0.5000  2 Mg 2.11
F 0.5000 0.2500 0.7500  2 Mg 2.11
F 0.0000 0.7301 0.7301  1 Mg 1.94
F 0.5000 0.7500 0.2500  2 Mg 2.11
F 0.0000 0.2699 0.2699  1 Mg 1.94



Here is an optimized crystal structure of Pm2NiP2N6 from the Alexandria database. Energies are from GGA-PBE.

SG	R-3m (166)
VASP energy	-7.45	eV/atom

a b c (Å): 5.3976 5.3976 6.0292
angles (deg): 63.41 63.41 60.00
Closest atoms and distances in Å follow each position.
Positions (direct):
Pm 0.7832 0.7832 0.6505  9 N 2.57-2.75
Pm 0.2168 0.2168 0.3495  9 N 2.57-2.75
Ni 0.0000 0.0000 0.0000  6 N 1.98
P 0.4281 0.4281 0.7157  3 N 1.61
P 0.5719 0.5719 0.2843  3 N 1.61
N 0.7557 0.7557 0.2476  1 P 1.61
N 0.2411 0.7557 0.2476  1 P 1.61
N 0.7557 0.2411 0.2476  1 P 1.61
N 0.2443 0.7589 0.7524  1 P 1.61
N 0.7589 0.2443 0.7524  1 P 1.61
N 0.2443 0.2443 0.7524  1 P 1.61



Here is an optimized crystal structure of La6GeOs2Cl3 from the Alexandria database. Energies are from GGA-PBE.

SG	C2/m (12)
VASP energy	-6.25	eV/atom

a b c (Å): 7.3809 7.3809 7.8792
angles (deg): 99.07 99.07 120.06
Closest atoms and distances in Å follow each position.
Positions (direct):
La 0.9321 0.5772 0.7906  2 Os 2.84-2.87, 1 Ge 3.04
La 0.7156 0.7156 0.2103  2 Os 2.86, 1 Ge 3.06, 1 Cl 3.17
La 0.0679 0.4228 0.2094  2 Os 2.84-2.87, 1 Ge 3.04
La 0.5772 0.9321 0.7906  2 Os 2.84-2.87, 1 Ge 3.04
La 0.2844 0.2844 0.7897  2 Os 2.86, 1 Ge 3.06, 1 Cl 3.17
La 0.4228 0.0679 0.2094  2 Os 2.84-2.87, 1 Ge 3.04
Ge 0.0000 0.0000 0.0000  6 La 3.04-3.06
Os 0.3332 0.6668 0.0000  6 La 2.84-2.87
Os 0.6668 0.3332 0.0000  6 La 2.84-2.87
Cl 0.1641 0.8359 0.5000  6 La 3.19-3.34
Cl 0.8359 0.1641 0.5000  6 La 3.19-3.34
Cl 0.5000 0.5000 0.5000  6 La 3.17-3.35



Here is an optimized crystal structure of Sm6B2SCl3 from the Alexandria database. Energies are from GGA-PBE.

SG	C2/m (12)
VASP energy	-5.51	eV/atom

a b c (Å): 6.8388 6.8388 7.2969
angles (deg): 98.99 98.99 119.99
Closest atoms and distances in Å follow each position.
Positions (direct):
Sm 0.9318 0.5802 0.7958  2 B 2.63, 1 S 2.79
Sm 0.7160 0.7160 0.2036  2 B 2.63, 1 S 2.79
Sm 0.0682 0.4198 0.2042  2 B 2.63, 1 S 2.79
Sm 0.5802 0.9318 0.7958  2 B 2.63, 1 S 2.79
Sm 0.2840 0.2840 0.7964  2 B 2.63, 1 S 2.79
Sm 0.4198 0.0682 0.2042  2 B 2.63, 1 S 2.79
B 0.3332 0.6668 0.0000  6 Sm 2.63
B 0.6668 0.3332 0.0000  6 Sm 2.63
S 0.0000 0.0000 0.0000  6 Sm 2.79
Cl 0.1664 0.8336 0.5000  6 Sm 2.98-3.12
Cl 0.8336 0.1664 0.5000  6 Sm 2.98-3.12
Cl 0.5000 0.5000 0.5000  6 Sm 2.98-3.11



Here is an optimized crystal structure of Pr12AgPd6 from the Alexandria database. Energies are from GGA-PBE.

E_form	-344	meV/atom
SG	R-3 (148)

a b c (Å): 8.6744 8.6744 8.6744
angles (deg): 100.59 100.59 100.59
Closest atoms and distances in Å follow each position.
Positions (direct):
Pr 0.8225 0.5840 0.4272  4 Pd 2.94-3.11
Pr 0.4272 0.8225 0.5840  4 Pd 2.94-3.11
Pr 0.5840 0.4272 0.8225  4 Pd 2.94-3.11
Pr 0.1775 0.4160 0.5728  4 Pd 2.94-3.11
Pr 0.5728 0.1775 0.4160  4 Pd 2.94-3.11
Pr 0.4160 0.5728 0.1775  4 Pd 2.94-3.11
Pr 0.0796 0.9398 0.3289  2 Pd 2.92-2.93, 1 Ag 2.97
Pr 0.0602 0.6711 0.9204  2 Pd 2.92-2.93, 1 Ag 2.97
Pr 0.6711 0.9204 0.0602  2 Pd 2.92-2.93, 1 Ag 2.97
Pr 0.9204 0.0602 0.6711  2 Pd 2.92-2.93, 1 Ag 2.97
Pr 0.9398 0.3289 0.0796  2 Pd 2.92-2.93, 1 Ag 2.97
Pr 0.3289 0.0796 0.9398  2 Pd 2.92-2.93, 1 Ag 2.97
Ag 0.0000 0.0000 0.0000  6 Pr 2.97
Pd 0.6868 0.8633 0.3842  6 Pr 2.92-3.11
Pd 0.6158 0.3132 0.1367  6 Pr 2.92-3.11
Pd 0.1367 0.6158 0.3132  6 Pr 2.92-3.11
Pd 0.3132 0.1367 0.6158  6 Pr 2.92-3.11
Pd 0.3842 0.6868 0.8633  6 Pr 2.92-3.11
Pd 0.8633 0.3842 0.6868  6 Pr 2.92-3.11



Here is an optimized crystal structure of KZn4 from the Alexandria database. Energies are from GGA-PBE.

E_form	829	meV/atom
SG	Pm-3m (221)

a b c (Å): 6.5497 6.5497 6.5497
angles (deg): 90.00 90.00 90.00
Closest atoms and distances in Å follow each position.
Positions (direct):
K 0.5000 0.5000 0.5000  6 Zn 3.27
Zn 0.0000 0.0000 0.0000  12 Zn 4.63
Zn 0.5000 0.0000 0.5000  2 K 3.27
Zn 0.0000 0.5000 0.5000  2 K 3.27
Zn 0.5000 0.5000 0.0000  2 K 3.27



Here is an optimized crystal structure of Sn3IN from the Alexandria database. Energies are from GGA-PBE.

SG	Pm-3m (221)
E above lowest polymorph	0.000	eV/atom

a b c (Å): 5.0502 5.0502 5.0502
angles (deg): 90.00 90.00 90.00
Closest atoms and distances in Å follow each position.
Positions (direct):
I 0.5000 0.5000 0.5000  12 Sn 3.57
Sn 0.0000 0.5000 0.0000  2 N 2.53
Sn 0.0000 0.0000 0.5000  2 N 2.53
Sn 0.5000 0.0000 0.0000  2 N 2.53
N 0.0000 0.0000 0.0000  6 Sn 2.53